Entry from Alexandria via LeMat-Bulk: Tl2Te2I after structural relaxation (PBE).

Values from the calculation:
The uncorrected formation energy is -0.094 eV per atom. Its relative energy among the computed polymorphs is 262 meV per atom. The total moment comes out at 0.00 μB per formula unit.

Unit cell a=8.8611 b=8.8611 c=4.5816 alpha=90.00 beta=90.00 gamma=90.00
Closest atoms and distances in Å follow each position.
Fractional coordinates of all 10 atoms:
Tl 0.1344 0.3656 0.0000  6 Te 3.26-3.63, 1 Tl 3.37
Tl 0.3656 0.8656 0.0000  6 Te 3.26-3.63, 1 Tl 3.37
Tl 0.6344 0.1344 0.0000  6 Te 3.26-3.63, 1 Tl 3.37
Tl 0.8656 0.6344 0.0000  6 Te 3.26-3.63, 1 Tl 3.37
Te 0.1805 0.6805 0.5000  2 I 3.25, 6 Tl 3.26-3.63
Te 0.3195 0.1805 0.5000  2 I 3.25, 6 Tl 3.26-3.63
Te 0.6805 0.8195 0.5000  2 I 3.25, 6 Tl 3.26-3.63
Te 0.8195 0.3195 0.5000  2 I 3.25, 6 Tl 3.26-3.63
I 0.0000 0.0000 0.5000  4 Te 3.25
I 0.5000 0.5000 0.5000  4 Te 3.25



Entry from Alexandria via LeMat-Bulk: TlTeI2 after structural relaxation (PBE).

Values from the calculation:
The uncorrected formation energy is 0.096 eV per atom. Its relative energy among the computed polymorphs is 138 meV per atom. The total moment comes out at 2.57 μB per formula unit.

Unit cell a=5.9424 b=5.9424 c=5.9424 alpha=60.00 beta=60.00 gamma=60.00
Closest atoms and distances in Å follow each position.
Fractional coordinates of all 4 atoms:
Tl 0.0000 0.0000 0.0000  8 I 3.64
Te 0.5000 0.5000 0.5000  8 I 3.64
I 0.2500 0.2500 0.2500  4 Tl 3.64, 4 Te 3.64
I 0.7500 0.7500 0.7500  4 Te 3.64, 4 Tl 3.64



Entry from Alexandria via LeMat-Bulk: TlTeI3 after structural relaxation (PBE).

Values from the calculation:
The uncorrected formation energy is -0.298 eV per atom. Its relative energy among the computed polymorphs is 0 meV per atom. The total moment comes out at 0.00 μB per formula unit.

Unit cell a=7.4059 b=8.4388 c=8.6082 alpha=61.03 beta=77.44 gamma=83.27
Closest atoms and distances in Å follow each position.
Fractional coordinates of all 10 atoms:
Tl 0.0000 0.0000 0.0000  5 I 3.49-3.75, 1 Te 3.71
Tl 0.4956 0.3709 0.4017  5 I 3.45-3.67
Te 0.7362 0.7508 0.7024  3 I 2.79-3.07, 1 Te 3.01
Te 0.8563 0.4326 0.6351  3 I 2.95-3.04, 1 Te 3.01
I 0.0763 0.1625 0.5260  1 Te 3.04
I 0.1543 0.7010 0.4357  1 Te 2.95
I 0.3745 0.6575 0.8914  1 Te 2.79
I 0.5447 0.1679 0.8491  1 Te 3.01
I 0.6177 0.9667 0.3516  1 Te 2.94
I 0.8999 0.5829 0.0483  1 Te 3.07



Entry from Alexandria via LeMat-Bulk: TlVTe2I after structural relaxation (PBE).

Values from the calculation:
The uncorrected formation energy is -0.135 eV per atom. Its relative energy among the computed polymorphs is 0 meV per atom. The total moment comes out at 1.52 μB per formula unit.

Unit cell a=5.2491 b=5.2491 c=6.0003 alpha=90.00 beta=90.00 gamma=90.00
Closest atoms and distances in Å follow each position.
Fractional coordinates of all 5 atoms:
Tl 0.0000 0.0000 0.0000  4 I 3.71, 8 Te 3.99
V 0.5000 0.5000 0.5000  4 Te 2.62
Te 0.0000 0.5000 0.5000  2 V 2.62
Te 0.5000 0.0000 0.5000  2 V 2.62
I 0.5000 0.5000 0.0000  2 V 3.00



Entry from Alexandria via LeMat-Bulk: TlTeWI2 after structural relaxation (PBE).

Values from the calculation:
The uncorrected formation energy is 0.890 eV per atom. Its relative energy among the computed polymorphs is 585 meV per atom. The total moment comes out at 3.62 μB per formula unit.

Unit cell a=6.7132 b=6.7132 c=5.1276 alpha=90.00 beta=90.00 gamma=90.00
Closest atoms and distances in Å follow each position.
Fractional coordinates of all 5 atoms:
Tl 0.0000 0.0000 0.0000  8 I 4.22
Te 0.5000 0.5000 0.5000  2 W 2.56
W 0.5000 0.5000 0.0000  2 Te 2.56
I 0.0000 0.5000 0.5000  2 Te 3.36
I 0.5000 0.0000 0.5000  2 Te 3.36



Entry from Alexandria via LeMat-Bulk: TlTeWI2 after structural relaxation (PBE).

Values from the calculation:
The uncorrected formation energy is 0.305 eV per atom. Its relative energy among the computed polymorphs is 0 meV per atom. The total moment comes out at 2.63 μB per formula unit.

Unit cell a=5.8511 b=5.8511 c=5.2607 alpha=90.00 beta=90.00 gamma=90.00
Closest atoms and distances in Å follow each position.
Fractional coordinates of all 5 atoms:
Tl 0.0000 0.0000 0.0000  8 I 3.93, 4 Te 4.14
Te 0.5000 0.5000 0.0000  2 W 2.63
W 0.5000 0.5000 0.5000  2 Te 2.63, 4 I 2.93
I 0.0000 0.5000 0.5000  2 W 2.93
I 0.5000 0.0000 0.5000  2 W 2.93